Compound: Ta2AlSi
Source: Alexandria
Functional: PBE
Structure: optimized geometry

Results
Space-group type: R-3m (166)
Density of states at the Fermi level, states/eV/f.u.: 3.0
Total energy, eV/atom: -8.2889
Energy relative to the elements, uncorrected, kJ/mol of formula units: -27

abc: 2.9190 2.9190 27.0757
angles: 90.00 90.00 120.00
Fractional coordinates of all 12 atoms:
Ta (0.0000, 0.0000, 0.2472)
Ta (0.0000, 0.0000, 0.7528)
Ta (0.3333, 0.6667, 0.4195)
Ta (0.3333, 0.6667, 0.9139)
Ta (0.6667, 0.3333, 0.0861)
Ta (0.6667, 0.3333, 0.5805)
Al (0.0000, 0.0000, 0.0000)
Al (0.3333, 0.6667, 0.6667)
Al (0.6667, 0.3333, 0.3333)
Si (0.0000, 0.0000, 0.5000)
Si (0.3333, 0.6667, 0.1667)
Si (0.6667, 0.3333, 0.8333)